(1)
The following is a DFT calculation (PBE) of an optimized crystal structure of CuMo2HRh.

Unit cell a=3.9042 b=3.9042 c=3.9803 alpha=90.00 beta=90.00 gamma=90.00
Fractional coordinates of all 5 atoms:
H: 0.0000 0.0000 0.0000
Mo: 0.0000 0.5000 0.0000
Mo: 0.5000 0.0000 0.0000
Rh: 0.0000 0.0000 0.5000
Cu: 0.5000 0.5000 0.5000

Properties
Volume (Å³/cell): 60.7
Energy above the most stable polymorph in this dataset (eV per formula unit): 0.00
Final energy (eV/atom): -7.174
Spin magnetization (μB per formula unit): 0.00

=====

(2)
The following is a DFT calculation (PBE) of an optimized crystal structure of Nd3TlHg2.

Unit cell a=3.8292 b=3.8292 c=11.8091 alpha=90.00 beta=90.00 gamma=90.00
Fractional coordinates of all 6 atoms:
Nd: 0.0000 0.0000 0.0000
Nd: 0.0000 0.0000 0.6744
Nd: 0.0000 0.0000 0.3256
Tl: 0.5000 0.5000 0.5000
Hg: 0.5000 0.5000 0.8375
Hg: 0.5000 0.5000 0.1625

Properties
Volume (Å³/cell): 173.2
Final energy (eV/atom): -3.318
Spin magnetization (μB per formula unit): 1.41
Energy of formation from the pure elements (kJ/mol of formula units): -254

=====

final energy of number 1 (CuMo2HRh)?
-7.174 eV/atom